A geometry-optimized HfAs2Ru structure, computed with PBE.

Unit cell a=6.435 b=6.435 c=6.435 alpha=90.00 beta=90.00 gamma=90.00
Space group Fm-3m (No. 225)
Unique sites:
Hf1 0.000 0.000 0.000 [4 per cell]
As1 0.250 0.250 0.250 [8 per cell]
Ru1 0.000 0.000 0.500 [4 per cell]

Results
- Spin magnetization: 0.0 Bohr magnetons per cell
- Theoretical density: 10.70 g/cm³
- Energy above the most stable polymorph in this dataset: 111 meV/atom
- Raw total energy: -7.4412 eV per atom